Li2SbOsRu | GGA-PBE | relaxed

Uncorrected formation energy in kJ per mole of atoms: 135.83

Unit cell a=4.5413 b=4.5413 c=4.9193 alpha=90.00 beta=90.00 gamma=90.00
Sites, in units of the cell vectors:
1 Li 0.0000 0.5000 0.0000
2 Li 0.5000 0.0000 0.0000
3 Sb 0.0000 0.0000 0.0000
4 Os 0.5000 0.5000 0.5000
5 Ru 0.0000 0.0000 0.5000

LiUOsRu | GGA-PBE | relaxed

DFT formation energy in kJ/mol of formula units: -5

Unit cell a=4.5115 b=4.5115 c=4.5115 alpha=60.00 beta=60.00 gamma=60.00
Sites, in units of the cell vectors:
1 Li 0.0000 0.0000 0.0000
2 U 0.5000 0.5000 0.5000
3 Os 0.2500 0.2500 0.2500
4 Ru 0.7500 0.7500 0.7500

Li3OsS | GGA-PBE | relaxed

Uncorrected formation energy in kJ per mole of atoms: 91.64
Energy above the most stable polymorph in this dataset in meV/atom: 553

Unit cell a=4.8473 b=4.8473 c=4.8473 alpha=90.00 beta=90.00 gamma=90.00
Sites, in units of the cell vectors:
1 Li 0.0000 0.0000 0.5000
2 Li 0.0000 0.5000 0.0000
3 Li 0.5000 0.0000 0.0000
4 Os 0.0000 0.0000 0.0000
5 S 0.5000 0.5000 0.5000